Computed, not measured: a relaxed TiTl2Ru crystal at the PBE level of DFT.

Output
Density in g/cm³: 10.989
Volume in Å³/atom: 21.07
Formation energy from the elements in eV per atom: 0.6495
Polymorph energy (0 for the lowest one) in meV per atom: 309

extended XYZ file:
```
16
Lattice="7.651 0.000 0.000 0.000 7.651 0.000 0.000 0.000 5.759" Properties=species:S:1:pos:R:3 pbc="T T T"
Ti 0.000 0.000 0.000
Ti 0.000 3.826 1.440
Ti 3.826 0.000 4.319
Ti 3.826 3.826 2.879
Tl 1.817 1.913 3.599
Tl 1.913 5.643 5.039
Tl 1.913 5.834 2.159
Tl 2.008 1.913 0.720
Tl 5.643 5.738 0.720
Tl 5.738 1.817 2.159
Tl 5.738 2.008 5.039
Tl 5.834 5.738 3.599
Ru 0.000 0.000 2.879
Ru 0.000 3.826 4.319
Ru 3.826 0.000 1.440
Ru 3.826 3.826 0.000
```